(1)
Computed, not measured: a relaxed structure of TlNiI2Cl at the GGA-PBE level of DFT.

The structure belongs to space group P4/mmm (No. 123); the cell edges are 5.519, 5.519 and 4.682 Å and the angles 90.00°, 90.00° and 90.00°. The asymmetric unit holds Tl at (0.000, 0.000, 0.000), Ni at (0.500, 0.500, 0.500), I at (0.000, 0.500, 0.500) and Cl at (0.500, 0.500, 0.000).

The electronic total energy comes out at -2.980 eV per atom. For the formation energy (no corrections), the calculation gives -0.36 eV per atom. The theoretical density comes out at 6.4 g/cm³.


(2)
Computed, not measured: a relaxed structure of ScPdS2 at the GGA-PBE level of DFT.

The structure belongs to space group I-42d (No. 122); the cell edges are 5.205, 5.205 and 12.830 Å and the angles 90.00°, 90.00° and 90.00°. The asymmetric unit holds Sc at (0.000, 0.000, 0.000), Pd at (0.000, 0.000, 0.500) and S at (0.239, 0.250, 0.625).

The value obtained for the distance to the lowest polymorph of the same formula is 0.058 eV per atom. The electronic total energy comes out at -5.930 eV per atom. For the formation energy (no corrections), the calculation gives -0.98 eV per atom. The theoretical density comes out at 4.1 g/cm³.


V for the records above, in order: 28.52 21.73 A^3/atom
N(E_F) for the records above, in order: 0.769 1.635 states/eV/atom
Total magnetization for the records above, in order: 0.00 0.00 μB per cell